# RbIO, optimized geometry, DFT GGA-PBE
# spin magnetization: 3.79 μB/cell
# formation energy (no corrections): -0.965 eV/atom
# excess energy over the best structure of this formula in the dataset: 0 meV per atom
# E_tot: -3.46 eV per atom
data_RbIO
_chemical_formula_sum 'Rb4 I4 O4'
_space_group_name_H-M_alt 'P 1'
_space_group_IT_number 1
_space_group_name_Hall 'P 1'
_cell_length_a 11.1126
_cell_length_b 6.3716
_cell_length_c 7.4193
_cell_angle_alpha 90.00
_cell_angle_beta 90.24
_cell_angle_gamma 90.00
loop_
_atom_site_label
_atom_site_type_symbol
_atom_site_fract_x
_atom_site_fract_y
_atom_site_fract_z
Rb1 Rb 0.1621 0.0000 0.2445
Rb2 Rb 0.3379 0.5000 0.7555
Rb3 Rb 0.6621 0.5000 0.2445
Rb4 Rb 0.8379 0.0000 0.7555
I1 I 0.1703 0.0000 0.7413
I2 I 0.3297 0.5000 0.2587
I3 I 0.6703 0.5000 0.7413
I4 I 0.8297 0.0000 0.2587
O1 O 0.0000 0.4027 0.0000
O2 O 0.0000 0.5973 0.0000
O3 O 0.5000 0.0973 0.0000
O4 O 0.5000 0.9027 0.0000